A plane-wave DFT calculation with PBE was carried out for a relaxed structure of Pu3HfPa2P6.

abc: 6.821 6.821 6.822
angles: 99.60 99.60 120.00
Element x y z (fractional)
P 0.596 0.920 0.759
P 0.242 0.242 0.755
P 0.758 0.758 0.245
P 0.080 0.404 0.241
P 0.404 0.080 0.241
P 0.920 0.596 0.759
Hf 0.000 0.000 0.000
Pu 0.831 0.169 0.500
Pu 0.500 0.500 0.500
Pu 0.169 0.831 0.500
Pa 0.334 0.666 0.000
Pa 0.666 0.334 0.000

Output
Spin magnetization = 16.4 μB/cell
Energy of formation = -1.260 eV per atom
N(E_F) = 25.2 states/eV/cell
Mass density = 9.99 Mg/m³